1.
Density functional theory data (PBE-GGA) for a relaxed BaPr2OsN4 crystal.

The structure in extended XYZ format:
```
16
Lattice="1.815 -6.359 0.000 1.815 6.359 0.000 0.000 0.000 12.604" Properties=species:S:1:pos:R:3 pbc="T T T"
Ba 1.815 5.510 9.453
Ba 1.815 -5.510 3.151
Pr 1.815 1.662 6.826
Pr 1.815 1.662 12.081
Pr 1.815 -1.662 0.524
Pr 1.815 -1.662 5.779
Os 1.815 3.899 3.151
Os 1.815 -3.899 9.453
N 0.000 0.000 0.000
N 0.000 0.000 6.302
N 1.815 3.095 1.445
N 1.815 3.095 4.857
N 1.815 1.515 9.453
N 1.815 -1.515 3.151
N 1.815 -3.095 7.747
N 1.815 -3.095 11.159
```

Output
Density, Mg/m³: 7.60
Formation energy without anion corrections, eV/atom: -0.691
SG: Cmcm, No. 63



2.
Density functional theory data (PBE-GGA) for a relaxed BaOsSN2 crystal.

The structure in extended XYZ format:
```
5
Lattice="4.030 0.000 0.000 0.000 4.030 0.000 0.000 0.000 5.113" Properties=species:S:1:pos:R:3 pbc="T T T"
Ba 0.000 0.000 0.000
Os 2.015 2.015 2.557
S 2.015 2.015 0.000
N 0.000 2.015 2.557
N 2.015 0.000 2.557
```

Output
Density, Mg/m³: 7.75
Distance to the lowest polymorph of the same formula, meV per atom: 0.0
Formation energy without anion corrections, eV/atom: -0.067
SG: P4/mmm, No. 123



3.
Density functional theory data (PBE-GGA) for a relaxed BaOsS2N crystal.

The structure in extended XYZ format:
```
5
Lattice="5.664 0.000 0.000 0.000 5.664 0.000 0.000 0.000 4.300" Properties=species:S:1:pos:R:3 pbc="T T T"
Ba 0.000 0.000 0.000
Os 2.832 2.832 2.150
S 0.000 2.832 0.000
S 2.832 0.000 0.000
N 0.000 0.000 2.150
```

Output
Density, Mg/m³: 4.88
Distance to the lowest polymorph of the same formula, meV per atom: 2802.7
Formation energy without anion corrections, eV/atom: 2.295
SG: P4/mmm, No. 123